4
Lattice="3.987 0.000 0.000 0.000 4.092 0.000 0.000 0.000 4.092" Properties=species:S:1:pos:R:3 comment="Mn2SnAu | the Alexandria database | PBE | relaxed" delta_e_f_ev_per_atom=0.07 e_tot_ev_per_atom=-6.332 magnetic_moment_mub_per_fu=6.6 pbc="T T T"
Mn 0.000 0.000 2.046
Mn 0.000 2.046 0.000
Au 1.993 2.046 2.046
Sn 1.993 0.000 0.000